1.
PBE BaZr2Fe, optimized geometry; calculated density = 7.172 g/cm3; space-group type = Fm-3m (225); energy relative to the elements = 3.41 eV per formula unit; excess energy over the best structure of this formula in the dataset = 599 meV per atom; crystal system = cubic
1.0
0.000 3.517 3.517
3.517 0.000 3.517
3.517 3.517 0.000
Ba Zr Fe
1 2 1
direct
0.500 0.500 0.500
0.250 0.250 0.250
0.750 0.750 0.750
0.000 0.000 0.000

***

2.
PBE Tl2BiP, optimized geometry; calculated density = 9.868 g/cm3; space-group type = Fm-3m (225); energy relative to the elements = 1.57 eV per formula unit; excess energy over the best structure of this formula in the dataset = 161 meV per atom; crystal system = cubic
1.0
0.000 3.793 3.793
3.793 0.000 3.793
3.793 3.793 0.000
P Tl Bi
1 2 1
direct
0.000 0.000 0.000
0.250 0.250 0.250
0.750 0.750 0.750
0.500 0.500 0.500

***

3.
PBE PrSmHoAg, optimized geometry; calculated density = 7.908 g/cm3; space-group type = P4mm (99); energy relative to the elements = -0.51 eV per formula unit; excess energy over the best structure of this formula in the dataset = 0 meV per atom; crystal system = tetragonal
1.0
3.664 0.000 0.000
0.000 3.664 0.000
0.000 0.000 8.822
Pr Sm Ho Ag
1 1 1 1
direct
0.000 0.000 0.077
0.500 0.500 0.781
0.500 0.500 0.366
0.000 0.000 0.560

***

4.
PBE OsPb2N, optimized geometry; calculated density = 12.353 g/cm3; space-group type = I-42d (122); crystal system = tetragonal; E_form (uncorrected) = 1292 meV per atom
1.0
6.438 0.000 0.000
0.000 6.438 0.000
3.219 3.219 4.013
Pb Os N
4 2 2
direct
0.572 0.125 0.250
0.178 0.625 0.250
0.375 0.428 0.750
0.875 0.822 0.750
0.000 0.000 0.000
0.750 0.250 0.500
0.500 0.500 0.000
0.250 0.750 0.500

***

5.
PBE La4TbPm2Pr, optimized geometry; calculated density = 6.683 g/cm3; space-group type = P2/m (10); energy relative to the elements = 0.11 eV per formula unit; crystal system = monoclinic
1.0
-2.834 3.667 2.509
2.887 -0.722 4.317
9.468 6.538 1.142
La Tb Pm Pr
4 1 2 1
direct
0.000 0.753 0.748
0.000 0.247 0.252
0.500 0.747 0.252
0.500 0.253 0.748
0.000 0.500 0.500
0.000 0.000 0.000
0.500 0.000 0.500
0.500 0.500 0.000

***

6.
PBE Sr2MgCo, optimized geometry; calculated density = 3.857 g/cm3; space-group type = F-43m (216); energy relative to the elements = 2.09 eV per formula unit; crystal system = cubic
1.0
5.399 0.000 0.000
2.699 4.676 0.000
2.699 1.559 4.408
Co Mg Sr
1 1 2
direct
0.500 0.500 0.500
0.750 0.750 0.750
0.000 0.000 0.000
0.250 0.250 0.250

***

7.
PBE Ba2TiCr, optimized geometry; calculated density = 3.563 g/cm3; space-group type = I-42d (122); energy relative to the elements = 3.50 eV per formula unit; excess energy over the best structure of this formula in the dataset = 0 meV per atom; crystal system = tetragonal
1.0
-5.728 -8.500 -6.912
4.090 -8.895 7.549
-2.697 -8.473 1.600
Cr Ba Ti
2 4 2
direct
0.000 0.000 0.000
0.750 0.250 0.500
0.806 0.125 0.250
0.944 0.625 0.250
0.375 0.194 0.750
0.875 0.056 0.750
0.500 0.500 0.000
0.250 0.750 0.500

***

8.
PBE CsTi2Os, optimized geometry; calculated density = 9.084 g/cm3; space-group type = Fm-3m (225); energy relative to the elements = 4.71 eV per formula unit; crystal system = cubic
1.0
0.000 3.370 3.370
3.370 0.000 3.370
3.370 3.370 0.000
Cs Os Ti
1 1 2
direct
0.000 0.000 0.000
0.500 0.500 0.500
0.250 0.250 0.250
0.750 0.750 0.750

***

9.
PBE Hf4AsIr, optimized geometry; calculated density = 12.363 g/cm3; space-group type = P2_1/c (14); energy relative to the elements = -2.42 eV per formula unit; crystal system = monoclinic
1.0
6.492 0.000 -0.206
0.000 6.544 0.000
-0.302 0.000 6.214
Hf As Ir
8 2 2
direct
0.859 0.660 0.133
0.641 0.160 0.867
0.347 0.361 0.357
0.153 0.861 0.643
0.141 0.340 0.867
0.359 0.840 0.133
0.653 0.639 0.643
0.847 0.139 0.357
0.500 0.000 0.500
0.000 0.500 0.500
0.000 0.000 0.000
0.500 0.500 0.000

***

10.
PBE La6CoIr2, optimized geometry; calculated density = 7.894 g/cm3; space-group type = P2_1/c (14); energy relative to the elements = -4.02 eV per formula unit; crystal system = monoclinic
1.0
6.908 0.000 0.117
0.000 7.463 0.000
0.506 0.000 10.427
La Co Ir
12 2 4
direct
0.166 0.060 0.255
0.175 0.315 0.584
0.182 0.323 0.937
0.318 0.823 0.563
0.325 0.815 0.916
0.334 0.560 0.245
0.834 0.940 0.745
0.825 0.685 0.416
0.818 0.677 0.063
0.682 0.177 0.437
0.675 0.185 0.084
0.666 0.440 0.755
0.500 0.500 0.000
0.000 0.000 0.500
0.045 0.611 0.780
0.455 0.111 0.720
0.545 0.889 0.280
0.955 0.389 0.220

***

11.
PBE ZrTi2Mn, optimized geometry; calculated density = 6.037 g/cm3; space-group type = P4/mmm (123); energy relative to the elements = -0.40 eV per formula unit; excess energy over the best structure of this formula in the dataset = 0 meV per atom; crystal system = tetragonal
1.0
3.039 0.000 0.000
0.000 3.039 0.000
0.000 0.000 7.204
Mn Zr Ti
1 1 2
direct
0.500 0.500 0.000
0.500 0.500 0.500
0.000 0.000 0.805
0.000 0.000 0.195